Computed, not measured: a geometry-optimized K5Cr2F12 structure at the PBE+U level of DFT.

Geometry as POSCAR:
```
K5Cr2F12
1.0
6.3927 0.2009 1.1826
1.5368 7.7409 0.9677
-0.0961 -1.9508 7.5364
F Cr K
12 2 5
Direct
0.8583 0.7938 0.2910
0.1417 0.2062 0.7090
0.2488 0.6237 0.0320
0.1578 0.9214 0.8820
0.7200 0.5190 0.5313
0.1501 0.2508 0.0467
0.7512 0.3763 0.9680
0.2114 0.9211 0.2349
0.7886 0.0789 0.7651
0.8499 0.7492 0.9533
0.8422 0.0786 0.1180
0.2800 0.4810 0.4687
0.9694 0.1692 0.9061
0.0306 0.8308 0.0939
0.0535 0.2663 0.3980
0.5000 0.0000 0.0000
0.9465 0.7337 0.6020
0.4572 0.3990 0.7323
0.5428 0.6010 0.2677
```

## Properties
- SG: No. 2
- Final energy: -4.943 eV per atom
- Calculated density: 2.3 Mg/m³